Computed, not measured: a geometry-optimized Cd2FeN2 structure at the GGA-PBE level of DFT.

Calculated values
E_tot ... -4.889 eV per atom
Mass density ... 7.83 g/cm³

Geometry as POSCAR:
```
Cd2FeN2
1.0
-1.402 2.559 0.293
-1.222 -2.709 3.537
4.658 2.353 1.266
Cd Fe N
2 1 2
direct
0.825 0.651 0.294 Cd
0.175 0.349 0.706 Cd
0.500 0.000 0.000 Fe
0.087 0.173 0.244 N
0.913 0.827 0.756 N
```